P) SbHPbI2 after structural relaxation, computed with GGA-PBE.

Summary:
Density of states at the Fermi level in states/eV/atom: 0.677
Total moment in μB/atom: 0.60
V in Å³ per cell: 247.8

a = 6.3303 Å, b = 6.3303 Å, c = 6.1832 Å
α = 90.00°, β = 90.00°, γ = 90.00°
Last column: nearest neighbours and their distance in Å.
Positions (direct):
Pb1 0.0000 0.0000 0.0000  2 Sb 3.09, 4 I 3.17
I1 0.0000 0.5000 0.0000  2 Pb 3.17
I2 0.5000 0.0000 0.0000  2 Pb 3.17
H1 0.5000 0.5000 0.5000  8 I 4.42, 4 Sb 4.48
Sb1 0.0000 0.0000 0.5000  2 Pb 3.09

Q) SbHPbI2 after structural relaxation, computed with GGA-PBE.

Summary:
Density of states at the Fermi level in states/eV/atom: 0.338
Total moment in μB/atom: 0.00
V in Å³ per cell: 136.5

a = 5.8394 Å, b = 5.8394 Å, c = 4.0028 Å
α = 90.00°, β = 90.00°, γ = 90.00°
Last column: nearest neighbours and their distance in Å.
Positions (direct):
Pb1 0.5000 0.5000 0.5000  8 I 3.54
I1 0.0000 0.5000 0.0000  2 H 2.92
I2 0.5000 0.0000 0.0000  2 H 2.92
H1 0.0000 0.0000 0.0000  2 Sb 2.00
Sb1 0.0000 0.0000 0.5000  2 H 2.00

Result of the stability comparison: P) is the least stable of them.

P) Te2HPbI after structural relaxation, computed with GGA-PBE.

Summary:
Density of states at the Fermi level in states/eV/atom: 1.184
Total moment in μB/atom: 0.65
V in Å³ per cell: 233.9

a = 6.0676 Å, b = 6.0676 Å, c = 6.3526 Å
α = 90.00°, β = 90.00°, γ = 90.00°
Last column: nearest neighbours and their distance in Å.
Positions (direct):
Pb1 0.0000 0.0000 0.0000  4 Te 3.03, 2 I 3.18
I1 0.0000 0.0000 0.5000  2 Pb 3.18
Te1 0.0000 0.5000 0.0000  2 Pb 3.03
Te2 0.5000 0.0000 0.0000  2 Pb 3.03
H1 0.5000 0.5000 0.5000  4 I 4.29, 8 Te 4.39

Q) Te2HPbI after structural relaxation, computed with GGA-PBE.

Summary:
Density of states at the Fermi level in states/eV/atom: 0.247
Total moment in μB/atom: 0.00
V in Å³ per cell: 144.3

a = 4.6221 Å, b = 4.6221 Å, c = 6.7559 Å
α = 90.00°, β = 90.00°, γ = 90.00°
Last column: nearest neighbours and their distance in Å.
Positions (direct):
Pb1 0.5000 0.5000 0.5000  4 I 3.27
I1 0.0000 0.0000 0.5000  4 Pb 3.27, 2 H 3.38
Te1 0.0000 0.5000 0.0000  2 H 2.31
Te2 0.5000 0.0000 0.0000  2 H 2.31
H1 0.0000 0.0000 0.0000  4 Te 2.31

Result of the stability comparison: P) is the least stable of them.

P) H3PdI after structural relaxation, computed with GGA-PBE.

Summary:
Density of states at the Fermi level in states/eV/atom: 0.302
Total moment in μB/atom: 0.00
V in Å³ per cell: 66.5

a = 4.0520 Å, b = 4.0520 Å, c = 4.0520 Å
α = 90.00°, β = 90.00°, γ = 90.00°
Last column: nearest neighbours and their distance in Å.
Positions (direct):
I1 0.0000 0.0000 0.0000  6 H 2.03
H1 0.0000 0.5000 0.0000  2 I 2.03
H2 0.0000 0.0000 0.5000  2 I 2.03
H3 0.5000 0.0000 0.0000  2 I 2.03
Pd1 0.5000 0.5000 0.5000  12 H 2.87

Q) H3PdI after structural relaxation, computed with GGA-PBE.

Summary:
Density of states at the Fermi level in states/eV/atom: 0.677
Total moment in μB/atom: 0.00
V in Å³ per cell: 57.3

a = 3.8556 Å, b = 3.8556 Å, c = 3.8556 Å
α = 90.00°, β = 90.00°, γ = 90.00°
Last column: nearest neighbours and their distance in Å.
Positions (direct):
I1 0.5000 0.5000 0.5000  12 H 2.73
H1 0.0000 0.5000 0.0000  2 Pd 1.93
H2 0.0000 0.0000 0.5000  2 Pd 1.93
H3 0.5000 0.0000 0.0000  2 Pd 1.93
Pd1 0.0000 0.0000 0.0000  6 H 1.93

Result of the stability comparison: P) is the least stable of them.

P) HPd2I after structural relaxation, computed with GGA-PBE.

Summary:
Density of states at the Fermi level in states/eV/atom: 0.454
Total moment in μB/atom: 0.00
V in Å³ per cell: 67.7

a = 3.8695 Å, b = 3.8695 Å, c = 5.6831 Å
α = 95.74°, β = 95.74°, γ = 53.20°
Last column: nearest neighbours and their distance in Å.
Positions (direct):
H1 0.7842 0.7842 0.0534  3 Pd 1.70-1.85
Pd1 0.9130 0.9130 0.8149  1 H 1.70
Pd2 0.2340 0.2340 0.1439  2 H 1.85
I1 0.5688 0.5688 0.4878  6 Pd 2.84-2.94, 1 H 3.02

Q) HPd2I after structural relaxation, computed with GGA-PBE.

Summary:
Density of states at the Fermi level in states/eV/atom: 0.388
Total moment in μB/atom: 0.00
V in Å³ per cell: 136.4

a = 5.1644 Å, b = 5.1644 Å, c = 6.2846 Å
α = 65.74°, β = 65.74°, γ = 90.00°
Last column: nearest neighbours and their distance in Å.
Positions (direct):
I1 0.0000 0.0000 0.0000  4 Pd 2.72
I2 0.7500 0.2500 0.5000  4 Pd 2.72
H1 0.5000 0.5000 0.0000  4 Pd 1.90
H2 0.2500 0.7500 0.5000  4 Pd 1.90
Pd1 0.4825 0.1250 0.2500  2 H 1.90
Pd2 0.2675 0.6250 0.2500  2 H 1.90
Pd3 0.3750 0.5175 0.7500  2 H 1.90
Pd4 0.8750 0.7325 0.7500  2 H 1.90

R) HPd2I after structural relaxation, computed with GGA-PBE.

Summary:
Density of states at the Fermi level in states/eV/atom: 0.689
Total moment in μB/atom: 0.00
V in Å³ per cell: 65.8

a = 4.5311 Å, b = 4.5311 Å, c = 4.5311 Å
α = 60.00°, β = 60.00°, γ = 60.00°
Last column: nearest neighbours and their distance in Å.
Positions (direct):
I1 0.5000 0.5000 0.5000  8 Pd 2.77
H1 0.0000 0.0000 0.0000  8 Pd 2.77
Pd1 0.2500 0.2500 0.2500  4 I 2.77, 4 H 2.77
Pd2 0.7500 0.7500 0.7500  4 I 2.77, 4 H 2.77

Result of the stability comparison: R) is the least stable of them.

P) HPdI2 after structural relaxation, computed with GGA-PBE.

Summary:
Density of states at the Fermi level in states/eV/atom: 0.642
Total moment in μB/atom: 0.00
V in Å³ per cell: 105.6

a = 3.9376 Å, b = 5.4139 Å, c = 7.4723 Å
α = 99.79°, β = 89.96°, γ = 136.84°
Last column: nearest neighbours and their distance in Å.
Positions (direct):
H1 0.7500 0.2500 0.5000  2 Pd 1.85
Pd1 0.2500 0.7500 0.5000  2 H 1.85
I1 0.8777 0.8777 0.7554  2 Pd 2.70
I2 0.6223 0.6223 0.2446  2 Pd 2.70

Q) HPdI2 after structural relaxation, computed with GGA-PBE.

Summary:
Density of states at the Fermi level in states/eV/atom: 1.664
Total moment in μB/atom: 0.51
V in Å³ per cell: 89.7

a = 5.0239 Å, b = 5.0239 Å, c = 5.0239 Å
α = 60.00°, β = 60.00°, γ = 60.00°
Last column: nearest neighbours and their distance in Å.
Positions (direct):
I1 0.2500 0.2500 0.2500  4 Pd 3.08, 4 H 3.08
I2 0.7500 0.7500 0.7500  4 H 3.08, 4 Pd 3.08
H1 0.0000 0.0000 0.0000  8 I 3.08
Pd1 0.5000 0.5000 0.5000  8 I 3.08

R) HPdI2 after structural relaxation, computed with GGA-PBE.

Summary:
Density of states at the Fermi level in states/eV/atom: 0.630
Total moment in μB/atom: 0.13
V in Å³ per cell: 105.8

a = 4.0430 Å, b = 4.7455 Å, c = 6.1058 Å
α = 92.26°, β = 90.01°, γ = 115.26°
Last column: nearest neighbours and their distance in Å.
Positions (direct):
H1 0.0841 0.9247 0.0523  2 I 1.94
Pd1 0.5842 0.9248 0.5522  4 I 2.76
I1 0.9506 0.6582 0.3005  1 H 1.94
I2 0.2176 0.1912 0.8040  1 H 1.94

Result of the stability comparison: Q) is the least stable of them.